DFT (PBE) results for a geometry-optimized CeFeSi structure.

The structure in CIF format:
```
data_CeFeSi
_chemical_formula_sum 'Ce4 Fe4 Si4'
_space_group_name_H-M_alt 'C m m m'
_space_group_IT_number 65
_space_group_name_Hall '-C 2 2'
_cell_length_a 7.1886
_cell_length_b 8.0400
_cell_length_c 3.9098
_cell_angle_alpha 90.00
_cell_angle_beta 90.00
_cell_angle_gamma 90.00
loop_
_atom_site_label
_atom_site_type_symbol
_atom_site_fract_x
_atom_site_fract_y
_atom_site_fract_z
_atom_site_occupancy
Ce1 Ce 0.0000 0.2004 0.0000 1
Fe1 Fe 0.0000 0.0000 0.5000 1
Fe2 Fe 0.0000 0.5000 0.0000 1
Si1 Si 0.1811 0.5000 0.5000 1
```

Computed properties:
* theoretical density: 6.6 g cm⁻³
* total DFT energy (no corrections): -6.941 eV/atom
* total moment: 0.00 μB/f.u.